Entry 1:
First-principles (PBE) data for crystalline K2GdDy2Mg3Cd at its relaxed geometry, as listed in the Open Quantum Materials Database.

Lattice parameters (Å, degrees): 4.855 8.223 8.223 120.17 90.00 90.00
Positions (direct):
K (0.000, 0.167, 0.833)
K (0.000, 0.833, 0.167)
Gd (0.500, 0.872, 0.872)
Dy (0.500, 0.127, 0.501)
Dy (0.500, 0.501, 0.127)
Mg (0.000, 0.282, 0.282)
Mg (0.000, 0.498, 0.714)
Mg (0.000, 0.714, 0.498)
Cd (0.500, 0.496, 0.496)

Output
M_tot = 0.085 μB/f.u.
Uncorrected energy = -1.981 eV/atom

=====

Entry 2:
First-principles (PBE) data for crystalline K2Gd2DyMg3Cd at its relaxed geometry, as listed in the Open Quantum Materials Database.

Lattice parameters (Å, degrees): 4.863 8.220 8.220 119.84 90.00 90.00
Positions (direct):
K (0.000, 0.167, 0.833)
K (0.000, 0.833, 0.167)
Gd (0.500, 0.501, 0.874)
Gd (0.500, 0.874, 0.501)
Dy (0.500, 0.125, 0.125)
Mg (0.000, 0.282, 0.498)
Mg (0.000, 0.498, 0.282)
Mg (0.000, 0.714, 0.714)
Cd (0.500, 0.496, 0.496)

Output
M_tot = 0.044 μB/f.u.
Uncorrected energy = -1.996 eV/atom

=====

Entry 3:
First-principles (PBE) data for crystalline Gd2DyMg3Tl2Cd at its relaxed geometry, as listed in the Open Quantum Materials Database.

Lattice parameters (Å, degrees): 4.639 7.575 7.575 119.92 90.00 90.00
Positions (direct):
Gd (0.000, 0.212, 0.788)
Gd (0.000, 0.788, 0.212)
Dy (0.000, 0.364, 0.364)
Mg (0.500, 0.028, 0.028)
Mg (0.500, 0.548, 0.788)
Mg (0.500, 0.788, 0.548)
Tl (0.500, 0.121, 0.454)
Tl (0.500, 0.454, 0.121)
Cd (0.000, 0.788, 0.788)

Output
M_tot = 0.003 μB/f.u.
Uncorrected energy = -3.020 eV/atom

=====

Entry 4:
First-principles (PBE) data for crystalline GdDy2CdPt4 at its relaxed geometry, as listed in the Open Quantum Materials Database.

Lattice parameters (Å, degrees): 4.888 4.888 6.893 90.00 90.00 90.00
Positions (direct):
Gd (0.000, 0.000, 0.000)
Dy (0.000, 0.000, 0.500)
Dy (0.500, 0.500, 0.000)
Cd (0.500, 0.500, 0.500)
Pt (0.000, 0.500, 0.247)
Pt (0.000, 0.500, 0.753)
Pt (0.500, 0.000, 0.247)
Pt (0.500, 0.000, 0.753)

Output
M_tot = 0.001 μB/f.u.
Calculated formation energy = -1.0212 eV per atom

=====

Entry 5:
First-principles (PBE) data for crystalline Gd2DyTl2Cd4 at its relaxed geometry, as listed in the Open Quantum Materials Database.

Lattice parameters (Å, degrees): 4.577 7.581 7.581 119.83 90.00 90.00
Positions (direct):
Gd (0.000, 0.213, 0.787)
Gd (0.000, 0.787, 0.213)
Dy (0.000, 0.361, 0.361)
Tl (0.500, 0.121, 0.453)
Tl (0.500, 0.453, 0.121)
Cd (0.000, 0.785, 0.785)
Cd (0.500, 0.027, 0.027)
Cd (0.500, 0.547, 0.787)
Cd (0.500, 0.787, 0.547)

Output
M_tot = 0.004 μB/f.u.
Uncorrected energy = -2.812 eV/atom

=====

Entry 6:
First-principles (PBE) data for crystalline Gd2DyTmCd2 at its relaxed geometry, as listed in the Open Quantum Materials Database.

Lattice parameters (Å, degrees): 5.417 8.703 8.703 24.15 90.00 90.00
Positions (direct):
Gd (0.000, 0.000, 0.000)
Gd (0.500, 0.177, 0.177)
Dy (0.000, 0.315, 0.315)
Tm (0.500, 0.863, 0.863)
Cd (0.000, 0.658, 0.658)
Cd (0.500, 0.518, 0.518)

Output
M_tot = 0.040 μB/f.u.
Calculated formation energy = -0.2275 eV per atom

=====

Entry 7:
First-principles (PBE) data for crystalline DyCdGe at its relaxed geometry, as listed in the Open Quantum Materials Database.

Lattice parameters (Å, degrees): 4.851 4.851 4.851 60.00 60.00 60.00
Positions (direct):
Dy (0.000, 0.000, 0.000)
Cd (0.750, 0.750, 0.750)
Ge (0.250, 0.250, 0.250)

Output
M_tot = 0.003 μB/f.u.
Uncorrected energy = -3.478 eV/atom

=====

Entry 8:
First-principles (PBE) data for crystalline DyCdGe at its relaxed geometry, as listed in the Open Quantum Materials Database.

Lattice parameters (Å, degrees): 4.729 4.729 4.729 60.00 60.00 60.00
Positions (direct):
Dy (0.000, 0.000, 0.000)
Cd (0.250, 0.250, 0.250)
Ge (0.500, 0.500, 0.500)

Output
M_tot = 0.001 μB/f.u.
Uncorrected energy = -3.500 eV/atom

=====

Entry 9:
First-principles (PBE) data for crystalline Dy2CdGe4O12 at its relaxed geometry, as listed in the Open Quantum Materials Database.

Lattice parameters (Å, degrees): 5.044 7.149 7.957 67.47 88.46 80.08
Positions (direct):
Dy (0.045, 0.266, 0.460)
Dy (0.955, 0.734, 0.540)
Cd (0.000, 0.500, 0.000)
Ge (0.417, 0.882, 0.789)
Ge (0.456, 0.661, 0.224)
Ge (0.544, 0.339, 0.776)
Ge (0.583, 0.118, 0.211)
O (0.205, 0.929, 0.604)
O (0.213, 0.572, 0.381)
O (0.263, 0.248, 0.214)
O (0.272, 0.786, 0.007)
O (0.273, 0.525, 0.775)
O (0.401, 0.157, 0.720)
O (0.599, 0.843, 0.280)
O (0.727, 0.475, 0.225)
O (0.728, 0.214, 0.993)
O (0.737, 0.752, 0.786)
O (0.787, 0.428, 0.619)
O (0.795, 0.071, 0.396)

Output
M_tot = 0.006 μB/f.u.
Uncorrected energy = -6.778 eV/atom

=====

Entry 10:
First-principles (PBE) data for crystalline DyHfCd at its relaxed geometry, as listed in the Open Quantum Materials Database.

Lattice parameters (Å, degrees): 4.948 4.948 4.948 60.00 60.00 60.00
Positions (direct):
Dy (0.000, 0.000, 0.000)
Hf (0.750, 0.750, 0.750)
Cd (0.500, 0.500, 0.500)

Output
M_tot = 0.893 μB/f.u.
Calculated formation energy = 0.7714 eV per atom

=====

Entry 11:
First-principles (PBE) data for crystalline Dy3Cd4Hg2 at its relaxed geometry, as listed in the Open Quantum Materials Database.

Lattice parameters (Å, degrees): 8.096 8.096 3.838 90.00 90.00 120.00
Positions (direct):
Dy (0.000, 0.599, 0.000)
Dy (0.401, 0.401, 0.000)
Dy (0.599, 0.000, 0.000)
Cd (0.000, 0.000, 0.000)
Cd (0.000, 0.270, 0.500)
Cd (0.270, 0.000, 0.500)
Cd (0.730, 0.730, 0.500)
Hg (0.333, 0.667, 0.500)
Hg (0.667, 0.333, 0.500)

Output
M_tot = 0.001 μB/f.u.
Calculated formation energy = -0.3935 eV per atom

=====

Entry 12:
First-principles (PBE) data for crystalline Dy3Mg3CdInHg at its relaxed geometry, as listed in the Open Quantum Materials Database.

Lattice parameters (Å, degrees): 7.512 7.512 4.605 90.00 90.00 120.00
Positions (direct):
Dy (0.004, 0.577, 0.000)
Dy (0.423, 0.427, 0.000)
Dy (0.573, 0.996, 0.000)
Mg (0.003, 0.244, 0.500)
Mg (0.241, 0.997, 0.500)
Mg (0.756, 0.759, 0.500)
Cd (0.000, 0.000, 0.000)
In (0.667, 0.333, 0.500)
Hg (0.333, 0.667, 0.500)

Output
M_tot = 0.010 μB/f.u.
Uncorrected energy = -2.844 eV/atom

=====

| no. | volume (Å³ per atom) |
| --- | --- |
| 1 | 31.5 |
| 2 | 31.7 |
| 3 | 25.6 |
| 4 | 20.6 |
| 5 | 25.4 |
| 6 | 28.0 |
| 7 | 26.9 |
| 8 | 24.9 |
| 9 | 13.7 |
| 10 | 28.6 |
| 11 | 24.2 |
| 12 | 25.0 |